(1)
{"formula": "Pr3Ho2ErS6", "functional": "PBE-GGA", "state": "optimized geometry", "lattice_angstrom": [[3.414, -5.930, 0.000], [3.414, 5.930, 0.000], [-2.286, 0.000, 6.672]], "species": ["Pr", "Pr", "Pr", "Ho", "Ho", "Er", "S", "S", "S", "S", "S", "S"], "frac_coords": [[0.000, 0.000, 0.000], [0.333, 0.667, 0.000], [0.667, 0.333, 0.000], [0.167, 0.833, 0.500], [0.833, 0.167, 0.500], [0.500, 0.500, 0.500], [0.092, 0.424, 0.272], [0.244, 0.244, 0.728], [0.424, 0.092, 0.272], [0.576, 0.908, 0.728], [0.756, 0.756, 0.272], [0.908, 0.576, 0.728]], "vol_a3_per_atom": 22.5, "raw_formation_energy_ev_per_atom": -2.006, "final_energy_ev_per_fu": -76.9, "m_tot_mub_per_atom": 0.0000}

***

(2)
{"formula": "Pr2HoErS4", "functional": "PBE-GGA", "state": "optimized geometry", "lattice_angstrom": [[6.830, 0.000, 0.000], [0.000, 3.921, 0.000], [-2.258, 0.000, 6.720]], "species": ["Pr", "Pr", "Ho", "Er", "S", "S", "S", "S"], "frac_coords": [[0.000, 0.000, 0.000], [0.500, 0.500, 0.000], [0.000, 0.500, 0.500], [0.500, 0.000, 0.500], [0.243, 0.000, 0.728], [0.259, 0.500, 0.273], [0.741, 0.500, 0.727], [0.757, 0.000, 0.272]], "vol_a3_per_atom": 22.5, "raw_formation_energy_ev_per_atom": -2.002, "final_energy_ev_per_fu": -51.2, "m_tot_mub_per_atom": 0.0000}

***

(3)
{"formula": "Pr4Ho3ErS8", "functional": "PBE-GGA", "state": "optimized geometry", "lattice_angstrom": [[3.945, 2.277, 6.691], [-3.945, 2.277, 6.691], [0.000, -4.555, 6.691]], "species": ["Pr", "Pr", "Pr", "Pr", "Ho", "Ho", "Ho", "Er", "S", "S", "S", "S", "S", "S", "S", "S"], "frac_coords": [[0.000, 0.000, 0.000], [0.000, 0.500, 0.500], [0.500, 0.000, 0.500], [0.500, 0.500, 0.000], [0.000, 0.000, 0.500], [0.000, 0.500, 0.000], [0.500, 0.000, 0.000], [0.500, 0.500, 0.500], [0.243, 0.243, 0.243], [0.243, 0.742, 0.742], [0.258, 0.258, 0.757], [0.258, 0.757, 0.258], [0.742, 0.243, 0.742], [0.742, 0.742, 0.243], [0.757, 0.258, 0.258], [0.757, 0.757, 0.757]], "vol_a3_per_atom": 22.5, "raw_formation_energy_ev_per_atom": -2.003, "final_energy_ev_per_fu": -102.5, "m_tot_mub_per_atom": 0.0000}